# K4Ho3VO8, relaxed, DFT PBE+U
# total moment	2.00	μB/f.u.
# calculated density	5570	kg/m3
# calculated total energy	-6.593	eV/atom
data_K4Ho3VO8
_chemical_formula_sum 'K4 Ho3 V1 O8'
_symmetry_space_group_name_H-M 'P 1'
_symmetry_Int_Tables_number 1
_symmetry_space_group_name_Hall 'P 1'
_cell_length_a 6.795
_cell_length_b 6.795
_cell_length_c 7.348
_cell_angle_alpha 117.54
_cell_angle_beta 117.54
_cell_angle_gamma 59.53
loop_
_atom_site_label
_atom_site_fract_x
_atom_site_fract_y
_atom_site_fract_z
_atom_site_occupancy
K1 0.000 0.000 0.000 1
K2 0.000 0.500 0.000 1
K3 0.500 0.000 0.000 1
K4 0.500 0.500 0.000 1
Ho1 0.000 0.000 0.500 1
Ho2 0.000 0.500 0.500 1
Ho3 0.500 0.000 0.500 1
V1 0.500 0.500 0.500 1
O1 0.228 0.228 0.686 1
O2 0.247 0.715 0.678 1
O3 0.272 0.272 0.312 1
O4 0.285 0.753 0.322 1
O5 0.715 0.247 0.678 1
O6 0.728 0.728 0.688 1
O7 0.753 0.285 0.322 1
O8 0.772 0.772 0.314 1